Here is a geometry-optimized PmNbMoO6 structure from Alexandria. Energies are from PBE+U.

Electronic total energy ... -8.24 eV per atom
Total moment ... 2.0 μB/f.u.

Unit cell a=4.9667 b=4.9667 c=9.9049 alpha=90.00 beta=90.00 gamma=90.00
Space group P4_2nm (No. 102)
One atom of each set of equivalent atoms:
Pm 0.0000 0.0000 0.0000 (multiplicity 2)
Nb 0.0000 0.0000 0.6637 (multiplicity 2)
Mo 0.0000 0.0000 0.3292 (multiplicity 2)
O 0.1752 0.1752 0.5004 (multiplicity 4)
O 0.2088 0.2088 0.8093 (multiplicity 4)
O 0.2153 0.2153 0.1823 (multiplicity 4)